Entry 1:
Below is a geometry-optimized Ce5OsRu structure, with properties calculated at the PBE level.

For the formation energy, the calculation gives -0.86 eV per formula unit.

It has space group Imma (No. 74), with a = 6.6744 Å, b = 12.6939 Å, c = 8.0387 Å, α = 90.00°, β = 90.00° and γ = 90.00°. Symmetry generates all atoms from Ce at (0.0000, 0.1150, 0.1499), Ce at (0.0000, 0.2500, 0.4659), Ce at (0.2500, 0.0873, 0.7500), Os at (0.0000, 0.2500, 0.8934) and Ru at (0.0000, 0.0000, 0.5000).

Entry 2:
Below is a geometry-optimized Ce12Os6Ru structure, with properties calculated at the PBE level.

For the formation energy, the calculation gives -1.87 eV per formula unit.

It has space group R-3 (No. 148, hexagonal axes), with a = 12.3236 Å, b = 12.3236 Å, c = 11.6805 Å, α = 90.00°, β = 90.00° and γ = 120.00°. Symmetry generates all atoms from Ce at (0.0236, 0.8152, 0.3909), Ce at (0.0363, 0.8302, 0.8809), Os at (0.0461, 0.7808, 0.6493) and Ru at (0.0000, 0.0000, 0.0000).

Entry 3:
Below is a geometry-optimized Ce8OsRu2 structure, with properties calculated at the PBE level.

The calculation puts the energy above the most stable polymorph in this dataset at 23.2 meV/atom. For the formation energy, the calculation gives -1.67 eV per formula unit.

It has space group C2/m (No. 12), with a = 7.8980 Å, b = 12.5994 Å, c = 5.7642 Å, α = 90.00°, β = 110.95° and γ = 90.00°. Symmetry generates all atoms from Ce at (0.0000, 0.2181, 0.0000), Ce at (0.1256, 0.5000, 0.8278), Ce at (0.2092, 0.1100, 0.5858), Os at (0.0000, 0.0000, 0.0000) and Ru at (0.0000, 0.2956, 0.5000).

Entry 4:
Below is a geometry-optimized Ce6OsRu2 structure, with properties calculated at the PBE level.

The calculation puts the energy above the most stable polymorph in this dataset at 86.4 meV/atom. For the formation energy, the calculation gives -1.58 eV per formula unit.

It has space group P2_1/c (No. 14), with a = 6.4013 Å, b = 7.1578 Å, c = 11.4855 Å, α = 90.00°, β = 121.90° and γ = 90.00°. Symmetry generates all atoms from Ce at (0.0804, 0.1871, 0.4284), Ce at (0.2833, 0.6529, 0.4447), Ce at (0.4009, 0.0607, 0.2375), Os at (0.5000, 0.0000, 0.5000) and Ru at (0.1793, 0.1218, 0.7280).